A) The following is a GGA-PBE calculation of a relaxed structure of SrSb2Pd4, from the Alexandria database.

* volume: 21.56 Å³/atom
* total magnetization: 0.0 μB per cell
* DOS at the Fermi energy: 3.26 states/eV/f.u.

a b c (Å): 18.273 4.603 7.178
angles (deg): 90.00 90.00 90.00
Sites, in units of the cell vectors:
1 Sr 0.141 0.250 0.009
2 Sr 0.359 0.750 0.509
3 Sr 0.641 0.250 0.491
4 Sr 0.859 0.750 0.991
5 Sb 0.037 0.750 0.739
6 Sb 0.208 0.250 0.456
7 Sb 0.292 0.750 0.956
8 Sb 0.463 0.250 0.239
9 Sb 0.537 0.750 0.761
10 Sb 0.708 0.250 0.044
11 Sb 0.792 0.750 0.544
12 Sb 0.963 0.250 0.261
13 Pd 0.017 0.750 0.116
14 Pd 0.065 0.250 0.533
15 Pd 0.184 0.750 0.669
16 Pd 0.218 0.750 0.268
17 Pd 0.282 0.250 0.768
18 Pd 0.316 0.250 0.169
19 Pd 0.435 0.750 0.033
20 Pd 0.483 0.250 0.616
21 Pd 0.517 0.750 0.384
22 Pd 0.565 0.250 0.967
23 Pd 0.684 0.750 0.831
24 Pd 0.718 0.750 0.232
25 Pd 0.782 0.250 0.732
26 Pd 0.816 0.250 0.331
27 Pd 0.935 0.750 0.467
28 Pd 0.983 0.250 0.884

***

B) The following is a GGA-PBE calculation of a relaxed structure of SrSb2Pd4, from the Alexandria database.

* volume: 20.59 Å³/atom
* total magnetization: 0.0 μB per cell
* DOS at the Fermi energy: 3.25 states/eV/f.u.

a b c (Å): 8.283 8.283 4.201
angles (deg): 90.00 90.00 90.00
Sites, in units of the cell vectors:
1 Sr 0.000 0.000 0.000
2 Sr 0.500 0.500 0.500
3 Sb 0.221 0.221 0.500
4 Sb 0.279 0.721 0.000
5 Sb 0.721 0.279 0.000
6 Sb 0.779 0.779 0.500
7 Pd 0.086 0.655 0.500
8 Pd 0.155 0.414 0.000
9 Pd 0.345 0.914 0.500
10 Pd 0.414 0.155 0.000
11 Pd 0.586 0.845 0.000
12 Pd 0.655 0.086 0.500
13 Pd 0.845 0.586 0.000
14 Pd 0.914 0.345 0.500

***

The least stable of them is A).

***

A) The following is a GGA-PBE calculation of a relaxed structure of TaSbPd3, from the Alexandria database.

* volume: 22.42 Å³/atom
* total magnetization: 2.1 μB per cell
* DOS at the Fermi energy: 4.47 states/eV/f.u.

a b c (Å): 4.822 4.822 4.822
angles (deg): 90.00 90.00 90.00
Sites, in units of the cell vectors:
1 Ta 0.000 0.000 0.000
2 Sb 0.500 0.500 0.500
3 Pd 0.000 0.500 0.500
4 Pd 0.500 0.000 0.500
5 Pd 0.500 0.500 0.000

***

B) The following is a GGA-PBE calculation of a relaxed structure of TaSbPd3, from the Alexandria database.

* volume: 23.17 Å³/atom
* total magnetization: 0.0 μB per cell
* DOS at the Fermi energy: 4.82 states/eV/f.u.

a b c (Å): 4.875 4.875 4.875
angles (deg): 90.00 90.00 90.00
Sites, in units of the cell vectors:
1 Ta 0.000 0.000 0.000
2 Sb 0.500 0.500 0.500
3 Pd 0.000 0.000 0.500
4 Pd 0.000 0.500 0.000
5 Pd 0.500 0.000 0.000

***

The least stable of them is A).

***

A) The following is a GGA-PBE calculation of a relaxed structure of TaSbPd6, from the Alexandria database.

* volume: 16.22 Å³/atom
* total magnetization: 0.0 μB per cell
* DOS at the Fermi energy: 5.29 states/eV/f.u.

a b c (Å): 4.003 4.003 8.097
angles (deg): 90.00 90.00 90.00
Sites, in units of the cell vectors:
1 Ta 0.000 0.000 0.000
2 Sb 0.000 0.000 0.500
3 Pd 0.000 0.500 0.235
4 Pd 0.000 0.500 0.765
5 Pd 0.500 0.000 0.235
6 Pd 0.500 0.000 0.765
7 Pd 0.500 0.500 0.000
8 Pd 0.500 0.500 0.500

***

B) The following is a GGA-PBE calculation of a relaxed structure of TaSbPd6, from the Alexandria database.

* volume: 16.69 Å³/atom
* total magnetization: 0.0 μB per cell
* DOS at the Fermi energy: 4.24 states/eV/f.u.

a b c (Å): 5.109 5.124 5.127
angles (deg): 93.39 93.12 93.20
Sites, in units of the cell vectors:
1 Ta 0.000 0.000 0.000
2 Sb 0.500 0.500 0.500
3 Pd 0.044 0.458 0.754
4 Pd 0.246 0.954 0.543
5 Pd 0.459 0.754 0.045
6 Pd 0.541 0.246 0.955
7 Pd 0.754 0.046 0.457
8 Pd 0.956 0.542 0.246

***

The least stable of them is B).

***

A) The following is a GGA-PBE calculation of a relaxed structure of TbSbPd4, from the Alexandria database.

* volume: 18.63 Å³/atom
* total magnetization: 0.0 μB per cell
* DOS at the Fermi energy: 6.06 states/eV/f.u.

a b c (Å): 5.407 5.407 5.407
angles (deg): 60.00 60.00 60.00
Sites, in units of the cell vectors:
1 Tb 0.000 0.000 0.000
2 Sb 0.750 0.750 0.750
3 Pd 0.375 0.375 0.375
4 Pd 0.375 0.375 0.876
5 Pd 0.375 0.876 0.375
6 Pd 0.876 0.375 0.375

***

B) The following is a GGA-PBE calculation of a relaxed structure of TbSbPd4, from the Alexandria database.

* volume: 21.97 Å³/atom
* total magnetization: 0.0 μB per cell
* DOS at the Fermi energy: 3.01 states/eV/f.u.

a b c (Å): 5.412 5.412 9.000
angles (deg): 90.00 90.00 90.00
Sites, in units of the cell vectors:
1 Tb 0.250 0.750 0.250
2 Tb 0.750 0.250 0.750
3 Sb 0.250 0.750 0.750
4 Sb 0.750 0.250 0.250
5 Pd 0.014 0.250 0.014
6 Pd 0.250 0.014 0.514
7 Pd 0.250 0.486 0.514
8 Pd 0.486 0.250 0.014
9 Pd 0.514 0.750 0.986
10 Pd 0.750 0.514 0.486
11 Pd 0.750 0.986 0.486
12 Pd 0.986 0.750 0.986

***

The least stable of them is B).

***

A) The following is a GGA-PBE calculation of a relaxed structure of TbSbPd6, from the Alexandria database.

* volume: 17.11 Å³/atom
* total magnetization: 0.0 μB per cell
* DOS at the Fermi energy: 2.85 states/eV/f.u.

a b c (Å): 8.147 8.157 4.120
angles (deg): 90.00 90.00 90.00
Sites, in units of the cell vectors:
1 Tb 0.000 0.000 0.000
2 Tb 0.500 0.500 0.000
3 Sb 0.000 0.500 0.000
4 Sb 0.500 0.000 0.000
5 Pd 0.000 0.252 0.500
6 Pd 0.000 0.748 0.500
7 Pd 0.247 0.500 0.500
8 Pd 0.250 0.250 0.000
9 Pd 0.250 0.750 0.000
10 Pd 0.253 0.000 0.500
11 Pd 0.500 0.248 0.500
12 Pd 0.500 0.752 0.500
13 Pd 0.747 0.000 0.500
14 Pd 0.750 0.250 0.000
15 Pd 0.750 0.750 0.000
16 Pd 0.753 0.500 0.500

***

B) The following is a GGA-PBE calculation of a relaxed structure of TbSbPd6, from the Alexandria database.

* volume: 22.05 Å³/atom
* total magnetization: 0.0 μB per cell
* DOS at the Fermi energy: 3.46 states/eV/f.u.

a b c (Å): 7.507 7.507 7.507
angles (deg): 42.72 42.72 42.72
Sites, in units of the cell vectors:
1 Tb 0.000 0.000 0.000
2 Sb 0.500 0.500 0.500
3 Pd 0.059 0.570 0.570
4 Pd 0.430 0.430 0.941
5 Pd 0.430 0.941 0.430
6 Pd 0.570 0.059 0.570
7 Pd 0.570 0.570 0.059
8 Pd 0.941 0.430 0.430

***

The least stable of them is B).

***

A) The following is a GGA-PBE calculation of a relaxed structure of TcSb3Pd, from the Alexandria database.

* volume: 27.63 Å³/atom
* total magnetization: 2.9 μB per cell
* DOS at the Fermi energy: 5.01 states/eV/f.u.

a b c (Å): 5.169 5.169 5.169
angles (deg): 90.00 90.00 90.00
Sites, in units of the cell vectors:
1 Tc 0.000 0.000 0.000
2 Sb 0.000 0.500 0.500
3 Sb 0.500 0.000 0.500
4 Sb 0.500 0.500 0.000
5 Pd 0.500 0.500 0.500

***

B) The following is a GGA-PBE calculation of a relaxed structure of TcSb3Pd, from the Alexandria database.

* volume: 26.67 Å³/atom
* total magnetization: 0.0 μB per cell
* DOS at the Fermi energy: 7.26 states/eV/f.u.

a b c (Å): 5.109 5.109 5.109
angles (deg): 90.00 90.00 90.00
Sites, in units of the cell vectors:
1 Tc 0.000 0.000 0.000
2 Sb 0.000 0.000 0.500
3 Sb 0.000 0.500 0.000
4 Sb 0.500 0.000 0.000
5 Pd 0.500 0.500 0.500

***

The least stable of them is A).

***

A) The following is a GGA-PBE calculation of a relaxed structure of TcSbTe2Pd, from the Alexandria database.

* volume: 28.92 Å³/atom
* total magnetization: 3.7 μB per cell
* DOS at the Fermi energy: 4.07 states/eV/f.u.

a b c (Å): 5.331 5.331 5.088
angles (deg): 90.00 90.00 90.00
Sites, in units of the cell vectors:
1 Tc 0.000 0.000 0.000
2 Sb 0.500 0.500 0.000
3 Te 0.000 0.500 0.500
4 Te 0.500 0.000 0.500
5 Pd 0.500 0.500 0.500

***

B) The following is a GGA-PBE calculation of a relaxed structure of TcSbTe2Pd, from the Alexandria database.

* volume: 27.49 Å³/atom
* total magnetization: 0.0 μB per cell
* DOS at the Fermi energy: 6.65 states/eV/f.u.

a b c (Å): 5.198 5.198 5.087
angles (deg): 90.00 90.00 90.00
Sites, in units of the cell vectors:
1 Tc 0.000 0.000 0.000
2 Sb 0.000 0.000 0.500
3 Te 0.000 0.500 0.000
4 Te 0.500 0.000 0.000
5 Pd 0.500 0.500 0.500

***

The least stable of them is A).

***

A) The following is a GGA-PBE calculation of a relaxed structure of TcSb2TePd, from the Alexandria database.

* volume: 28.31 Å³/atom
* total magnetization: 3.4 μB per cell
* DOS at the Fermi energy: 4.04 states/eV/f.u.

a b c (Å): 5.144 5.144 5.349
angles (deg): 90.00 90.00 90.00
Sites, in units of the cell vectors:
1 Tc 0.000 0.000 0.000
2 Sb 0.000 0.500 0.500
3 Sb 0.500 0.000 0.500
4 Te 0.500 0.500 0.000
5 Pd 0.500 0.500 0.500

***

B) The following is a GGA-PBE calculation of a relaxed structure of TcSb2TePd, from the Alexandria database.

* volume: 27.09 Å³/atom
* total magnetization: 0.0 μB per cell
* DOS at the Fermi energy: 6.58 states/eV/f.u.

a b c (Å): 5.098 5.098 5.211
angles (deg): 90.00 90.00 90.00
Sites, in units of the cell vectors:
1 Tc 0.000 0.000 0.000
2 Sb 0.000 0.500 0.000
3 Sb 0.500 0.000 0.000
4 Te 0.000 0.000 0.500
5 Pd 0.500 0.500 0.500

***

The least stable of them is A).